VASP calculation (GGA-PBE) on crystalline LaTeRu at its relaxed geometry.

Output
The calculation puts the total energy at -6.465 eV per atom.

The structure in POSCAR format:
```
LaTeRu
1.0
-0.666 -0.835 -4.417
0.466 -3.450 2.920
-4.103 -0.027 0.623
La Ru Te
1 1 1
Cartesian
0.000 0.000 0.000
-2.339 -1.720 -1.660
-1.963 -2.592 0.786
```